(1)
Below is a relaxed structure of VNiSeN2, with properties calculated at the PBE-GGA level.

abc: 3.630 3.630 5.622
angles: 90.00 90.00 90.00
Space group P4/mmm (No. 123)
Inequivalent atoms, fractional coordinates:
V  0.000  0.000  0.000 (multiplicity 1)
Ni  0.000  0.000  0.500 (multiplicity 1)
Se  0.500  0.500  0.500 (multiplicity 1)
N  0.000  0.500  0.000 (multiplicity 2)

- crystal system = tetragonal
- calculated density (g cm⁻³) = 4.86
- ΔE_f (raw) (eV/atom) = 0.625
- calculated total energy (eV/atom) = -6.382
- excess energy over the best structure of this formula in the dataset (meV per atom) = 145
- D(E_F) (states/eV/atom) = 0.621

(2)
Below is a relaxed structure of Nb3CoAu, with properties calculated at the PBE-GGA level.

abc: 4.575 4.575 4.575
angles: 90.00 90.00 90.00
Space group Pm-3m (No. 221)
Inequivalent atoms, fractional coordinates:
Nb  0.000  0.000  0.500 (multiplicity 3)
Co  0.000  0.000  0.000 (multiplicity 1)
Au  0.500  0.500  0.500 (multiplicity 1)

- crystal system = cubic
- energy of formation from the pure elements (eV per atom) = 0.5703
- calculated density (g cm⁻³) = 9.27
- calculated total energy (eV/atom) = -7.548
- excess energy over the best structure of this formula in the dataset (meV per atom) = 0
- D(E_F) (states/eV/atom) = 0.625

(3)
Below is a relaxed structure of CdP2I, with properties calculated at the PBE-GGA level.

abc: 7.007 7.007 7.007
angles: 90.00 90.00 90.00
Space group Fm-3m (No. 225)
Inequivalent atoms, fractional coordinates:
Cd  0.000  0.000  0.000 (multiplicity 4)
P  0.250  0.250  0.250 (multiplicity 8)
I  0.000  0.000  0.500 (multiplicity 4)

- crystal system = cubic
- calculated density (g cm⁻³) = 5.82
- ΔE_f (raw) (eV/atom) = 0.899
- calculated total energy (eV/atom) = -2.422
- excess energy over the best structure of this formula in the dataset (meV per atom) = 204
- D(E_F) (states/eV/atom) = 1.070

Among the records above, which one has the lowest excess energy over the best structure of this formula in the dataset? Nb3CoAu

D(E_F) of number 2 (Nb3CoAu)? 0.625 states/eV/atom